First-principles (GGA-PBE) data for TmReAgO6 after structural relaxation, as listed in the Alexandria database.

Values from the calculation:
E_form (uncorrected): -1705 meV per atom
Spin magnetization: 0.0 μB per cell
Crystal system: monoclinic

Cell: 5.817 9.102 4.884 Å, 90.00 101.47 90.00°
Space group C2 (No. 5)
Symmetry-distinct sites (fractional):
Tm  0.000  0.000  0.000 x2
Re  0.000  0.342  0.000 x2
Ag  0.000  0.671  0.500 x2
O  0.083  0.200  0.775 x4
O  0.127  0.496  0.793 x4
O  0.187  0.850  0.768 x4

=====

First-principles (GGA-PBE) data for Pr7SmSc4 after structural relaxation, as listed in the Alexandria database.

Values from the calculation:
Spin magnetization: 0.0 μB per cell
Crystal system: triclinic
Calculated formation energy: 46 meV per atom

Cell: 6.225 7.180 8.804 Å, 89.90 76.50 89.91°
Space group P-1 (No. 2)
Symmetry-distinct sites (fractional):
Pr  0.000  0.000  0.000 x1
Pr  0.225  0.501  0.336 x2
Pr  0.290  0.244  0.658 x2
Pr  0.499  0.759  0.988 x2
Sm  0.000  0.500  0.000 x1
Sc  0.211  0.999  0.342 x2
Sc  0.269  0.761  0.663 x2

=====

First-principles (GGA-PBE) data for PmSm2Y4 after structural relaxation, as listed in the Alexandria database.

Values from the calculation:
Distance to the lowest polymorph of the same formula: 113 meV per atom
Spin magnetization: 0.0 μB per cell
Crystal system: orthorhombic
Calculated formation energy: 145 meV per atom

Cell: 5.686 9.789 16.799 Å, 90.00 90.00 90.00°
Space group Cmcm (No. 63)
Symmetry-distinct sites (fractional):
Pm  0.000  0.003  0.250 x4
Sm  0.000  0.335  0.056 x8
Y  0.000  0.000  0.000 x4
Y  0.000  0.330  0.646 x8
Y  0.000  0.337  0.250 x4